Run a
DFT (meta-GGA SCAN) results for BeAs2RuBr at its PBEsol-relaxed geometry.

The space group is P4/mmm (No. 123) and the conventional cell measures 4.271, 4.271 and 4.635 Å, with angles of 90.00, 90.00 and 90.00 degrees. Symmetry generates all atoms from Be at (0.000, 0.000, 0.000), As at (0.000, 0.500, 0.000), Ru at (0.500, 0.500, 0.500) and Br at (0.000, 0.000, 0.500).



Run b
DFT (meta-GGA SCAN) results for BeAs2RuBr at its PBEsol-relaxed geometry.

The space group is P4/mmm (No. 123) and the conventional cell measures 4.629, 4.629 and 5.260 Å, with angles of 90.00, 90.00 and 90.00 degrees. Symmetry generates all atoms from Be at (0.000, 0.000, 0.000), As at (0.000, 0.500, 0.500), Ru at (0.500, 0.500, 0.500) and Br at (0.500, 0.500, 0.000).



The most stable of them is run b.



Run a
DFT (meta-GGA SCAN) results for BeAsSe2Br at its PBEsol-relaxed geometry.

The space group is P4/mmm (No. 123) and the conventional cell measures 4.986, 4.986 and 5.054 Å, with angles of 90.00, 90.00 and 90.00 degrees. Symmetry generates all atoms from Be at (0.000, 0.000, 0.000), As at (0.500, 0.500, 0.500), Se at (0.000, 0.500, 0.500) and Br at (0.500, 0.500, 0.000).



Run b
DFT (meta-GGA SCAN) results for BeAsSe2Br at its PBEsol-relaxed geometry.

The space group is P4/mmm (No. 123) and the conventional cell measures 4.362, 4.362 and 5.146 Å, with angles of 90.00, 90.00 and 90.00 degrees. Symmetry generates all atoms from Be at (0.000, 0.000, 0.000), As at (0.000, 0.000, 0.500), Se at (0.000, 0.500, 0.000) and Br at (0.500, 0.500, 0.500).



The most stable of them is run b.



Run a
DFT (meta-GGA SCAN) results for Ca2BeAs at its PBEsol-relaxed geometry.

The space group is I-4m2 (No. 119) and the conventional cell measures 4.178, 4.178 and 10.278 Å, with angles of 90.00, 90.00 and 90.00 degrees. Symmetry generates all atoms from Ca at (0.000, 0.000, 0.000), Ca at (0.000, 0.500, 0.250), Be at (0.000, 0.500, 0.750) and As at (0.000, 0.000, 0.500).



Run b
DFT (meta-GGA SCAN) results for Ca2BeAs at its PBEsol-relaxed geometry.

The space group is P4mm (No. 99) and the conventional cell measures 4.205, 4.205 and 5.852 Å, with angles of 90.00, 90.00 and 90.00 degrees. Symmetry generates all atoms from Ca at (0.000, 0.000, 0.000), Ca at (0.500, 0.500, 0.490), Be at (0.500, 0.500, 0.989) and As at (0.000, 0.000, 0.501).



The most stable of them is run a.



Run a
DFT (meta-GGA SCAN) results for BeAs2Cl at its PBEsol-relaxed geometry.

The space group is Cmmm (No. 65) and the conventional cell measures 3.776, 4.802 and 7.388 Å, with angles of 90.00, 90.00 and 90.00 degrees. Symmetry generates all atoms from Be at (0.000, 0.000, 0.000), As at (0.000, 0.500, 0.192) and Cl at (0.000, 0.000, 0.500).



Run b
DFT (meta-GGA SCAN) results for BeAs2Cl at its PBEsol-relaxed geometry.

The space group is R-3m (No. 166, hexagonal axes) and the conventional cell measures 3.5571, 3.5571 and 19.2289 Å, with angles of 90.00, 90.00 and 120.00 degrees. Symmetry generates all atoms from Be at (0.0000, 0.0000, 0.0000), As at (0.0000, 0.0000, 0.2765) and Cl at (0.0000, 0.0000, 0.5000).



The most stable of them is run b.



Run a
DFT (meta-GGA SCAN) results for BeAs2Cl at its PBEsol-relaxed geometry.

The space group is Pmmm (No. 47) and the conventional cell measures 2.744, 3.327 and 7.570 Å, with angles of 90.00, 90.00 and 90.00 degrees. Symmetry generates all atoms from Be at (0.000, 0.000, 0.000), As at (0.500, 0.500, 0.174) and Cl at (0.000, 0.000, 0.500).



Run b
DFT (meta-GGA SCAN) results for BeAs2Cl at its PBEsol-relaxed geometry.

The space group is I4/mmm (No. 139) and the conventional cell measures 4.448, 4.448 and 6.624 Å, with angles of 90.00, 90.00 and 90.00 degrees. Symmetry generates all atoms from Be at (0.000, 0.000, 0.000), As at (0.000, 0.500, 0.250) and Cl at (0.000, 0.000, 0.500).



The most stable of them is run a.



Run a
DFT (meta-GGA SCAN) results for BeAsF2 at its PBEsol-relaxed geometry.

The space group is Fm-3m (No. 225) and the conventional cell measures 5.783, 5.783 and 5.783 Å, with angles of 90.00, 90.00 and 90.00 degrees. Symmetry generates all atoms from Be at (0.000, 0.000, 0.000), As at (0.000, 0.000, 0.500) and F at (0.250, 0.250, 0.250).



Run b
DFT (meta-GGA SCAN) results for BeAsF2 at its PBEsol-relaxed geometry.

The space group is Fd-3m (No. 227, origin choice 2) and the conventional cell measures 7.266, 7.266 and 7.266 Å, with angles of 90.00, 90.00 and 90.00 degrees. Symmetry generates all atoms from Be at (0.125, 0.125, 0.125), As at (0.125, 0.125, 0.625) and F at (0.000, 0.000, 0.000).



The most stable of them is run b.



Run a
DFT (meta-GGA SCAN) results for BeHgAs2 at its PBEsol-relaxed geometry.

The space group is I4/mmm (No. 139) and the conventional cell measures 3.744, 3.744 and 10.294 Å, with angles of 90.00, 90.00 and 90.00 degrees. Symmetry generates all atoms from Be at (0.000, 0.000, 0.000), Hg at (0.000, 0.000, 0.500) and As at (0.000, 0.500, 0.250).



Run b
DFT (meta-GGA SCAN) results for BeHgAs2 at its PBEsol-relaxed geometry.

The space group is R-3m (No. 166, hexagonal axes) and the conventional cell measures 2.9152, 2.9152 and 29.9815 Å, with angles of 90.00, 90.00 and 120.00 degrees. Symmetry generates all atoms from Be at (0.0000, 0.0000, 0.0000), Hg at (0.0000, 0.0000, 0.5000) and As at (0.0000, 0.0000, 0.2730).



The most stable of them is run b.



Run a
DFT (meta-GGA SCAN) results for BeHgAs2 at its PBEsol-relaxed geometry.

The space group is C2/m (No. 12) and the conventional cell measures 7.299, 3.685 and 6.133 Å, with angles of 90.00, 109.05 and 90.00 degrees. Symmetry generates all atoms from Be at (0.000, 0.000, 0.000), Hg at (0.000, 0.500, 0.500) and As at (0.164, 0.500, 0.183).



Run b
DFT (meta-GGA SCAN) results for BeHgAs2 at its PBEsol-relaxed geometry.

The space group is Immm (No. 71) and the conventional cell measures 2.900, 4.355 and 11.067 Å, with angles of 90.00, 90.00 and 90.00 degrees. Symmetry generates all atoms from Be at (0.000, 0.000, 0.000), Hg at (0.000, 0.000, 0.500) and As at (0.000, 0.500, 0.319).



The most stable of them is run a.



Run a
DFT (meta-GGA SCAN) results for LiBeAs2 at its PBEsol-relaxed geometry.

The space group is P4mm (No. 99) and the conventional cell measures 3.338, 3.338 and 5.652 Å, with angles of 90.00, 90.00 and 90.00 degrees. Symmetry generates all atoms from Li at (0.000, 0.000, 0.000), Be at (0.500, 0.500, 0.604), As at (0.000, 0.000, 0.542) and As at (0.500, 0.500, 0.204).



Run b
DFT (meta-GGA SCAN) results for LiBeAs2 at its PBEsol-relaxed geometry.

The space group is I4/mmm (No. 139) and the conventional cell measures 4.086, 4.086 and 7.062 Å, with angles of 90.00, 90.00 and 90.00 degrees. Symmetry generates all atoms from Li at (0.000, 0.000, 0.000), Be at (0.000, 0.000, 0.500) and As at (0.000, 0.500, 0.250).



The most stable of them is run b.



Run a
DFT (meta-GGA SCAN) results for LiBe2As at its PBEsol-relaxed geometry.

The space group is I-4m2 (No. 119) and the conventional cell measures 3.522, 3.522 and 7.354 Å, with angles of 90.00, 90.00 and 90.00 degrees. Symmetry generates all atoms from Li at (0.000, 0.000, 0.000), Be at (0.000, 0.000, 0.500), Be at (0.000, 0.500, 0.250) and As at (0.000, 0.500, 0.750).



Run b
DFT (meta-GGA SCAN) results for LiBe2As at its PBEsol-relaxed geometry.

The space group is P4/mmm (No. 123) and the conventional cell measures 3.208, 3.208 and 4.736 Å, with angles of 90.00, 90.00 and 90.00 degrees. Symmetry generates all atoms from Li at (0.000, 0.000, 0.000), Be at (0.500, 0.500, 0.263) and As at (0.000, 0.000, 0.500).



The most stable of them is run a.



Run a
DFT (meta-GGA SCAN) results for MgBeAs2 at its PBEsol-relaxed geometry.

The space group is R-3m (No. 166, hexagonal axes) and the conventional cell measures 3.3705, 3.3705 and 20.2917 Å, with angles of 90.00, 90.00 and 120.00 degrees. Symmetry generates all atoms from Mg at (0.0000, 0.0000, 0.0000), Be at (0.0000, 0.0000, 0.5000) and As at (0.0000, 0.0000, 0.2351).



Run b
DFT (meta-GGA SCAN) results for MgBeAs2 at its PBEsol-relaxed geometry.

The space group is F-43m (No. 216) and the conventional cell measures 6.463, 6.463 and 6.463 Å, with angles of 90.00, 90.00 and 90.00 degrees. Symmetry generates all atoms from Mg at (0.000, 0.000, 0.000), Be at (0.250, 0.250, 0.250), As at (0.000, 0.000, 0.500) and As at (0.250, 0.250, 0.750).



Run c
DFT (meta-GGA SCAN) results for MgBeAs2 at its PBEsol-relaxed geometry.

The space group is Imm2 (No. 44) and the conventional cell measures 3.386, 3.486 and 11.673 Å, with angles of 90.00, 90.00 and 90.00 degrees. Symmetry generates all atoms from Mg at (0.000, 0.000, 0.000), Be at (0.000, 0.500, 0.260), As at (0.000, 0.000, 0.621) and As at (0.000, 0.500, 0.818).



The most stable of them is run a.



Run a
DFT (meta-GGA SCAN) results for BeAsOs at its PBEsol-relaxed geometry.

The space group is F-43m (No. 216) and the conventional cell measures 5.618, 5.618 and 5.618 Å, with angles of 90.00, 90.00 and 90.00 degrees. Symmetry generates all atoms from Be at (0.000, 0.000, 0.000), As at (0.000, 0.000, 0.500) and Os at (0.250, 0.250, 0.250).



Run b
DFT (meta-GGA SCAN) results for BeAsOs at its PBEsol-relaxed geometry.

The space group is Imm2 (No. 44) and the conventional cell measures 2.973, 3.363 and 7.464 Å, with angles of 90.00, 90.00 and 90.00 degrees. Symmetry generates all atoms from Be at (0.000, 0.000, 0.000), As at (0.000, 0.000, 0.325) and Os at (0.000, 0.000, 0.660).



The most stable of them is run b.



Run a
DFT (meta-GGA SCAN) results for BeAsPb at its PBEsol-relaxed geometry.

The space group is I4mm (No. 107) and the conventional cell measures 3.304, 3.304 and 11.299 Å, with angles of 90.00, 90.00 and 90.00 degrees. Symmetry generates all atoms from Be at (0.000, 0.000, 0.000), As at (0.000, 0.000, 0.503) and Pb at (0.000, 0.000, 0.251).



Run b
DFT (meta-GGA SCAN) results for BeAsPb at its PBEsol-relaxed geometry.

The space group is P3m1 (No. 156) and the conventional cell measures 3.7555, 3.7555 and 5.0269 Å, with angles of 90.00, 90.00 and 120.00 degrees. Symmetry generates all atoms from Be at (0.0000, 0.0000, 0.0000), As at (0.3333, 0.6667, 0.0575) and Pb at (0.6667, 0.3333, 0.5516).



The most stable of them is run b.



Run a
DFT (meta-GGA SCAN) results for BeReAs at its PBEsol-relaxed geometry.

The space group is I4mm (No. 107) and the conventional cell measures 3.097, 3.097 and 7.723 Å, with angles of 90.00, 90.00 and 90.00 degrees. Symmetry generates all atoms from Be at (0.000, 0.000, 0.000), Re at (0.000, 0.000, 0.661) and As at (0.000, 0.000, 0.331).



Run b
DFT (meta-GGA SCAN) results for BeReAs at its PBEsol-relaxed geometry.

The space group is Fmm2 (No. 42) and the conventional cell measures 3.036, 4.605 and 11.895 Å, with angles of 90.00, 90.00 and 90.00 degrees. Symmetry generates all atoms from Be at (0.000, 0.000, 0.000), Re at (0.000, 0.000, 0.351) and As at (0.000, 0.000, 0.674).



The most stable of them is run a.